# 1
BaLaN2: optimized geometry, PBEsol.

As for the energy relative to the elements, uncorrected: -0.265 eV/atom.

The structure belongs to space group Fm-3m (No. 225); the cell edges are 6.5022, 6.5022 and 6.5022 Å and the angles 90.00°, 90.00° and 90.00°. Symmetry generates all atoms from Ba at (0.0000, 0.0000, 0.0000), La at (0.0000, 0.0000, 0.5000) and N at (0.2500, 0.2500, 0.2500).

***

# 2
U8MnS17: optimized geometry, PBEsol.

As for the energy relative to the elements, uncorrected: -1.331 eV/atom.

The structure belongs to space group C2/m (No. 12); the cell edges are 12.9036, 8.1612 and 10.1495 Å and the angles 90.00°, 101.65° and 90.00°. Symmetry generates all atoms from U at (0.0626, 0.2429, 0.2004), U at (0.1817, 0.5000, 0.5183), U at (0.2033, 0.0000, 0.9537), Mn at (0.0000, 0.0000, 0.5000), S at (0.0000, 0.0000, 0.0000), S at (0.0209, 0.5000, 0.6699), S at (0.0555, 0.0000, 0.7261), S at (0.1262, 0.3088, 0.9624), S at (0.1341, 0.1888, 0.4709), S at (0.2027, 0.5000, 0.2590) and S at (0.2160, 0.0000, 0.2201).

***

# 3
ScAsRu2: optimized geometry, PBEsol.

As for the total energy: -8.324 eV/atom.

The structure belongs to space group C2/m (No. 12); the cell edges are 8.6961, 3.0318 and 4.7712 Å and the angles 90.00°, 106.60° and 90.00°. Symmetry generates all atoms from Sc at (0.0000, 0.0000, 0.0000), As at (0.0000, 0.5000, 0.5000) and Ru at (0.2346, 0.0000, 0.7207).

***

# 4
BaGe2PbO: optimized geometry, PBEsol.

As for the energy relative to the elements, uncorrected: -0.307 eV/atom.

The structure belongs to space group P4/mmm (No. 123); the cell edges are 4.7590, 4.7590 and 4.9546 Å and the angles 90.00°, 90.00° and 90.00°. Symmetry generates all atoms from Ba at (0.0000, 0.0000, 0.0000), Ge at (0.0000, 0.5000, 0.5000), Pb at (0.5000, 0.5000, 0.0000) and O at (0.5000, 0.5000, 0.5000).

***

# 5
Cd4AsBr: optimized geometry, PBEsol.

As for the energy relative to the elements, uncorrected: 0.151 eV/atom.

The structure belongs to space group F-43m (No. 216); the cell edges are 8.1395, 8.1395 and 8.1395 Å and the angles 90.00°, 90.00° and 90.00°. Symmetry generates all atoms from Cd at (0.1254, 0.1254, 0.1254), As at (0.0000, 0.0000, 0.5000) and Br at (0.2500, 0.2500, 0.7500).

***

# 6
Li3AlBi: optimized geometry, PBEsol.

As for the total energy: -2.682 eV/atom.

The structure belongs to space group Pm-3m (No. 221); the cell edges are 5.1584, 5.1584 and 5.1584 Å and the angles 90.00°, 90.00° and 90.00°. Symmetry generates all atoms from Li at (0.0000, 0.0000, 0.5000), Al at (0.5000, 0.5000, 0.5000) and Bi at (0.0000, 0.0000, 0.0000).